Entry 1:
RbMo3As: optimized geometry, PBE.

The value obtained for the polymorph energy (0 for the lowest one) is 38.91 kcal/mol of atoms. For the calculated formation energy, the calculation gives 3.299 eV per atom.

The structure belongs to space group Pm-3m (No. 221); the cell edges are 4.725, 4.725 and 4.725 Å and the angles 90.00°, 90.00° and 90.00°. Symmetry generates all atoms from Rb at (0.000, 0.000, 0.000), Mo at (0.000, 0.000, 0.500) and As at (0.500, 0.500, 0.500).


Entry 2:
BaNaLi2: optimized geometry, PBE.

The value obtained for the polymorph energy (0 for the lowest one) is 3.25 kcal/mol of atoms. For the calculated formation energy, the calculation gives 0.213 eV per atom.

The structure belongs to space group I-42d (No. 122); the cell edges are 5.536, 5.536 and 21.586 Å and the angles 90.00°, 90.00° and 90.00°. Symmetry generates all atoms from Ba at (0.000, 0.000, 0.000), Na at (0.000, 0.000, 0.500) and Li at (0.018, 0.250, 0.625).


Entry 3:
CsCeS3: optimized geometry, PBE.

The value obtained for the polymorph energy (0 for the lowest one) is 2.89 kcal/mol of atoms. For the energy relative to the elements, uncorrected, the calculation gives -1.320 eV per atom.

The structure belongs to space group Pm-3m (No. 221); the cell edges are 5.412, 5.412 and 5.412 Å and the angles 90.00°, 90.00° and 90.00°. Symmetry generates all atoms from Cs at (0.000, 0.000, 0.000), Ce at (0.500, 0.500, 0.500) and S at (0.000, 0.500, 0.500).